First-principles (meta-GGA SCAN) data for LiReNi at its PBEsol-relaxed geometry, as listed in the Alexandria database.

Computed properties:
Energy relative to the elements   0.2424 eV per atom
Calculated total energy   -88.933 eV/cell
Energy relative to the lowest polymorph listed for this composition   0.000 eV/atom

Cell and atoms, written as POSCAR:
```
LiReNi
1.0
-0.8611 0.0332 2.3934
1.6763 -1.9066 -0.1605
4.2575 4.9015 0.5070
Li Ni Re
1 1 1
Cartesian
0.0563 0.0479 0.0196 Li
1.9956 0.4130 1.6691 Ni
3.0206 2.5672 1.0512 Re
```